(1)
Compound: YMgSc4
Source: Alexandria via LeMat-Bulk
Functional: PBE
Structure: optimized geometry

Computed properties:
Space group: Cmcm (63)
Total moment in μB/f.u.: 0.1
Electronic total energy in eV per atom: -5.39
E above lowest polymorph in meV per atom: 156

abc: 5.0756 6.5849 9.7185
angles: 90.00 105.14 90.00
With the nearest neighbours (Å) after each atom.
Fractional positions:
Y: 0.1194 0.2500 0.2389  7 Sc 3.23-3.46
Y: 0.8806 0.7500 0.7611  7 Sc 3.23-3.46
Mg: 0.2171 0.7500 0.4343  7 Sc 2.91-3.11
Mg: 0.7829 0.2500 0.5657  7 Sc 2.91-3.11
Sc: 0.5000 0.5000 0.0000  8 Sc 3.03-3.29
Sc: 0.5000 0.0000 0.0000  8 Sc 3.03-3.29
Sc: 0.6614 0.9720 0.3229  3 Mg 2.92-3.11, 2 Sc 2.92-3.03, 2 Y 3.23
Sc: 0.3386 0.0280 0.6771  3 Mg 2.92-3.11, 2 Sc 2.92-3.03, 2 Y 3.23
Sc: 0.3386 0.4720 0.6771  3 Mg 2.92-3.11, 2 Sc 2.92-3.03, 2 Y 3.23
Sc: 0.6614 0.5280 0.3229  3 Mg 2.92-3.11, 2 Sc 2.92-3.03, 2 Y 3.23
Sc: 0.0619 0.7500 0.1238  1 Mg 2.91, 4 Sc 3.24
Sc: 0.9381 0.2500 0.8762  1 Mg 2.91, 4 Sc 3.24


(2)
Compound: Al2CrSe
Source: Alexandria via LeMat-Bulk
Functional: PBE
Structure: optimized geometry

Computed properties:
Space group: I-4m2 (119)
Total moment in μB/f.u.: 3.0
Electronic total energy in eV per atom: -4.99
E above lowest polymorph in meV per atom: 190
Formation energy without anion corrections in meV/atom: 160

abc: 4.9688 4.9688 4.9688
angles: 131.99 131.99 70.24
With the nearest neighbours (Å) after each atom.
Fractional positions:
Cr: 0.5000 0.5000 0.0000  8 Al 2.86-2.87, 4 Se 2.87
Al: 0.0000 0.0000 0.0000  4 Cr 2.86, 4 Se 2.87, 4 Al 2.87
Al: 0.2500 0.7500 0.5000  4 Se 2.86, 4 Cr 2.87, 4 Al 2.87
Se: 0.7500 0.2500 0.5000  8 Al 2.86-2.87, 4 Cr 2.87


Which formula does entry 2 have? Al2CrSe


Which of these has the highest total moment? Al2CrSe


What is the formula in the second record? Al2CrSe